# 1
Computed, not measured: a relaxed AlTlGa4 crystal at the GGA-PBE level of DFT.

- DFT total energy (eV per atom) = -2.877
- D(E_F) (states/eV per cell) = 11.99
- energy relative to the elements (eV/atom) = 0.159
- energy relative to the lowest polymorph listed for this composition (meV/atom) = 82

Geometry as CIF:
```
data_AlTlGa4
_symmetry_space_group_name_H-M 'F -4 3 m'
_symmetry_Int_Tables_number 216
_symmetry_space_group_name_Hall 'F -4 2 3'
_cell_length_a 8.0085
_cell_length_b 8.0085
_cell_length_c 8.0085
_cell_angle_alpha 90.00
_cell_angle_beta 90.00
_cell_angle_gamma 90.00
loop_
_atom_site_label
_atom_site_type_symbol
_atom_site_fract_x
_atom_site_fract_y
_atom_site_fract_z
Al1 Al 0.0000 0.0000 0.0000
Tl1 Tl 0.2500 0.2500 0.2500
Ga1 Ga 0.1256 0.1256 0.6256
```

# 2
Computed, not measured: a relaxed Y2PS crystal at the GGA-PBE level of DFT.

- DFT total energy (eV per atom) = -7.498
- D(E_F) (states/eV per cell) = 4.44
- energy relative to the lowest polymorph listed for this composition (meV/atom) = 0
- formation energy without anion corrections (eV per atom) = -1.88

Geometry as CIF:
```
data_Y2PS
_symmetry_space_group_name_H-M 'R -3 m'
_symmetry_Int_Tables_number 166
_symmetry_space_group_name_Hall '-R 3 2"'
_cell_length_a 3.9728
_cell_length_b 3.9728
_cell_length_c 19.4449
_cell_angle_alpha 90.00
_cell_angle_beta 90.00
_cell_angle_gamma 120.00
loop_
_atom_site_label
_atom_site_type_symbol
_atom_site_fract_x
_atom_site_fract_y
_atom_site_fract_z
Y1 Y 0.0000 0.0000 0.2471
P1 P 0.0000 0.0000 0.5000
S1 S 0.0000 0.0000 0.0000
```

# 3
Computed, not measured: a relaxed Ba2InPb3 crystal at the GGA-PBE level of DFT.

- DFT total energy (eV per atom) = -3.337
- D(E_F) (states/eV per cell) = 32.66
- energy relative to the elements (eV/atom) = -0.385
- energy relative to the lowest polymorph listed for this composition (meV/atom) = 59

Geometry as CIF:
```
data_Ba2InPb3
_symmetry_space_group_name_H-M 'F m m m'
_symmetry_Int_Tables_number 69
_symmetry_space_group_name_Hall '-F 2 2'
_cell_length_a 9.9171
_cell_length_b 10.6849
_cell_length_c 17.6818
_cell_angle_alpha 90.00
_cell_angle_beta 90.00
_cell_angle_gamma 90.00
loop_
_atom_site_label
_atom_site_type_symbol
_atom_site_fract_x
_atom_site_fract_y
_atom_site_fract_z
Ba1 Ba 0.2411 0.0000 0.0000
Ba2 Ba 0.2500 0.2500 0.2500
In1 In 0.0000 0.0000 0.3345
Pb1 Pb 0.0000 0.0000 0.1676
Pb2 Pb 0.0000 0.2410 0.4140
```

# 4
Computed, not measured: a relaxed RbCa3Mn crystal at the GGA-PBE level of DFT.

- DFT total energy (eV per atom) = -2.799
- D(E_F) (states/eV per cell) = 7.36
- energy relative to the elements (eV/atom) = 0.430
- energy relative to the lowest polymorph listed for this composition (meV/atom) = 0

Geometry as CIF:
```
data_RbCa3Mn
_symmetry_space_group_name_H-M 'P m -3 m'
_symmetry_Int_Tables_number 221
_symmetry_space_group_name_Hall '-P 4 2 3'
_cell_length_a 5.7954
_cell_length_b 5.7954
_cell_length_c 5.7954
_cell_angle_alpha 90.00
_cell_angle_beta 90.00
_cell_angle_gamma 90.00
loop_
_atom_site_label
_atom_site_type_symbol
_atom_site_fract_x
_atom_site_fract_y
_atom_site_fract_z
Rb1 Rb 0.0000 0.0000 0.0000
Ca1 Ca 0.0000 0.5000 0.5000
Mn1 Mn 0.5000 0.5000 0.5000
```

# 5
Computed, not measured: a relaxed AsP2Au crystal at the GGA-PBE level of DFT.

- DFT total energy (eV per atom) = -4.106
- D(E_F) (states/eV per cell) = 2.98
- energy relative to the elements (eV/atom) = 0.581

Geometry as CIF:
```
data_AsP2Au
_symmetry_space_group_name_H-M 'I m m m'
_symmetry_Int_Tables_number 71
_symmetry_space_group_name_Hall '-I 2 2'
_cell_length_a 2.7225
_cell_length_b 5.0482
_cell_length_c 10.0706
_cell_angle_alpha 90.00
_cell_angle_beta 90.00
_cell_angle_gamma 90.00
loop_
_atom_site_label
_atom_site_type_symbol
_atom_site_fract_x
_atom_site_fract_y
_atom_site_fract_z
As1 As 0.0000 0.0000 0.0000
P1 P 0.0000 0.5000 0.2517
Au1 Au 0.0000 0.0000 0.5000
```

# 6
Computed, not measured: a relaxed MnTl3Ir crystal at the GGA-PBE level of DFT.

- DFT total energy (eV per atom) = -4.402
- D(E_F) (states/eV per cell) = 4.96
- energy relative to the elements (eV/atom) = 0.624
- energy relative to the lowest polymorph listed for this composition (meV/atom) = 0

Geometry as CIF:
```
data_MnTl3Ir
_symmetry_space_group_name_H-M 'P m -3 m'
_symmetry_Int_Tables_number 221
_symmetry_space_group_name_Hall '-P 4 2 3'
_cell_length_a 5.3005
_cell_length_b 5.3005
_cell_length_c 5.3005
_cell_angle_alpha 90.00
_cell_angle_beta 90.00
_cell_angle_gamma 90.00
loop_
_atom_site_label
_atom_site_type_symbol
_atom_site_fract_x
_atom_site_fract_y
_atom_site_fract_z
Mn1 Mn 0.0000 0.0000 0.0000
Tl1 Tl 0.0000 0.5000 0.5000
Ir1 Ir 0.5000 0.5000 0.5000
```